(1)
This record from Alexandria describes a geometry-optimized Ac2ReGe structure. The functional is PBE.

Cell: 3.4818 3.4818 32.4162 Å, 90.00 90.00 120.00°
Closest atoms and distances in Å follow each position.
Space group R-3m (No. 166, hexagonal axes)
Unique sites:
Ac 0.0000 0.0000 0.0871  1 Re 2.82
Re 0.0000 0.0000 0.0000  2 Ac 2.82
Ge 0.0000 0.0000 0.5000  6 Ac 3.27, 6 Ge 3.48

Summary:
- energy relative to the elements (eV/atom) = 0.987
- uncorrected energy (eV/atom) = -5.334

***

(2)
This record from Alexandria describes a geometry-optimized AcReGe2 structure. The functional is PBE.

Cell: 4.9951 4.9951 11.5559 Å, 90.00 90.00 120.00°
Closest atoms and distances in Å follow each position.
Space group R-3m (No. 166, hexagonal axes)
Unique sites:
Ac 0.0000 0.0000 0.0000  8 Ge 3.00-3.01
Re 0.0000 0.0000 0.5000  8 Ge 2.78-3.08
Ge 0.0000 0.0000 0.2594  4 Re 2.78-3.08, 4 Ac 3.00-3.01

Summary:
- energy above the lowest structure with this stoichiometry (kJ per mole of atoms) = 17.7
- energy relative to the elements (eV/atom) = 0.191
- uncorrected energy (eV/atom) = -6.256

***

(3)
This record from Alexandria describes a geometry-optimized AcReGe2 structure. The functional is PBE.

Cell: 3.3316 3.3316 7.3748 Å, 90.00 90.00 90.00°
Closest atoms and distances in Å follow each position.
Space group P4/mmm (No. 123)
Unique sites:
Ac 0.0000 0.0000 0.0000  8 Ge 3.30, 4 Ac 3.33, 2 Re 3.69
Re 0.0000 0.0000 0.5000  8 Ge 2.73
Ge 0.5000 0.5000 0.3140  4 Re 2.73, 1 Ge 2.74

Summary:
- energy above the lowest structure with this stoichiometry (kJ per mole of atoms) = 0.0
- energy relative to the elements (eV/atom) = 0.008
- uncorrected energy (eV/atom) = -6.440

***

(4)
This record from Alexandria describes a geometry-optimized AcRe2Ge2 structure. The functional is PBE.

Cell: 22.7658 4.2785 4.3340 Å, 90.00 100.90 90.00°
Closest atoms and distances in Å follow each position.
Space group C2/m (No. 12)
Unique sites:
Ac 0.1598 0.0000 0.4072  10 Ge 3.32-3.48, 4 Re 3.52-3.58
Re 0.0326 0.0000 0.7823  4 Re 2.61-2.62, 2 Ge 2.62
Re 0.0348 0.5000 0.2845  2 Ge 2.61, 4 Re 2.62-2.67
Ge 0.0998 0.5000 0.8494  4 Re 2.61-2.62, 1 Ge 2.70
Ge 0.2206 0.5000 0.9608  3 Ge 2.51-2.70

Summary:
- energy relative to the elements (eV/atom) = -0.378
- uncorrected energy (eV/atom) = -8.026

***

(5)
This record from Alexandria describes a geometry-optimized Ac7Ge2Rh2 structure. The functional is PBE.

Cell: 9.2099 11.4361 7.5611 Å, 90.00 90.00 90.00°
Closest atoms and distances in Å follow each position.
Space group Cmmm (No. 65)
Unique sites:
Ac 0.0000 0.0000 0.0000  2 Rh 3.02
Ac 0.0000 0.5000 0.2303  2 Ge 3.20, 2 Rh 3.21, 1 Ac 3.48
Ac 0.2500 0.2500 0.2580  2 Rh 3.02
Ge 0.2327 0.0000 0.5000  6 Ac 3.20-3.40
Rh 0.0000 0.2639 0.0000  7 Ac 3.02-3.21

Summary:
- energy above the lowest structure with this stoichiometry (kJ per mole of atoms) = 12.9
- energy relative to the elements (eV/atom) = -0.376
- uncorrected energy (eV/atom) = -5.167

***

(6)
This record from Alexandria describes a geometry-optimized Ac8Ge2Rh structure. The functional is PBE.

Cell: 19.8077 4.3896 9.5954 Å, 90.00 97.75 90.00°
Closest atoms and distances in Å follow each position.
Space group C2/m (No. 12)
Unique sites:
Ac 0.0057 0.0000 0.2074  2 Rh 2.95
Ac 0.0979 0.5000 0.5434  2 Ge 3.29, 1 Ac 3.67
Ac 0.1556 0.5000 0.9983  1 Rh 3.08, 2 Ge 3.25
Ac 0.2177 0.0000 0.3421  2 Ge 3.24
Ge 0.1788 0.0000 0.7599  6 Ac 3.24-3.29
Rh 0.0000 0.5000 0.0000  6 Ac 2.95-3.08

Summary:
- energy relative to the elements (eV/atom) = -0.377
- uncorrected energy (eV/atom) = -4.872

***

(7)
This record from Alexandria describes a geometry-optimized Ac2Ge7Rh12 structure. The functional is PBE.

Cell: 10.0877 10.0877 3.9922 Å, 90.00 90.00 120.00°
Closest atoms and distances in Å follow each position.
Space group P-6 (No. 174)
Unique sites:
Ac 0.0000 0.0000 0.0000  12 Rh 3.26-3.58, 6 Ge 3.26
Ac 0.3333 0.6667 0.5000  9 Rh 3.21-3.54, 6 Ge 3.26
Ge 0.0572 0.4400 0.0000  7 Rh 2.42-2.60
Ge 0.2734 0.2336 0.5000  7 Rh 2.46-2.63
Ge 0.6667 0.3333 0.0000  3 Rh 2.39
Rh 0.0467 0.2751 0.5000  4 Ge 2.52-2.63
Rh 0.1117 0.7140 0.0000  4 Ge 2.53-2.56, 1 Rh 2.82
Rh 0.3934 0.1877 0.0000  4 Ge 2.39-2.49
Rh 0.5412 0.4440 0.5000  3 Ge 2.46-2.60

Summary:
- energy relative to the elements (eV/atom) = -0.680
- uncorrected energy (eV/atom) = -6.811

***

(8)
This record from Alexandria describes a geometry-optimized Ac3Ge2Rh6 structure. The functional is PBE.

Cell: 9.7514 9.7514 9.7514 Å, 90.00 90.00 90.00°
Closest atoms and distances in Å follow each position.
Space group Im-3m (No. 229)
Unique sites:
Ac 0.0000 0.0000 0.2998  8 Rh 3.03-3.26
Ge 0.2500 0.2500 0.2500  6 Rh 2.58
Rh 0.0000 0.3109 0.3109  2 Ge 2.58, 4 Rh 2.87

Summary:
- energy relative to the elements (eV/atom) = -0.630
- uncorrected energy (eV/atom) = -6.599

***

(9)
This record from Alexandria describes a geometry-optimized AcGe2Rh3 structure. The functional is PBE.

Cell: 15.3419 4.2373 7.8026 Å, 90.00 114.84 90.00°
Closest atoms and distances in Å follow each position.
Space group C2/m (No. 12)
Unique sites:
Ac 0.1586 0.0000 0.0848  8 Rh 3.18-3.53, 6 Ge 3.35-3.37
Ge 0.0164 0.5000 0.1834  4 Rh 2.44, 1 Ge 2.69
Ge 0.1741 0.0000 0.6322  6 Rh 2.43-2.65
Rh 0.0250 0.0000 0.3457  3 Ge 2.43-2.44
Rh 0.1129 0.5000 0.7122  3 Ge 2.44-2.50
Rh 0.1798 0.5000 0.4329  4 Ge 2.44-2.65

Summary:
- energy above the lowest structure with this stoichiometry (kJ per mole of atoms) = 2.2
- energy relative to the elements (eV/atom) = -0.717
- uncorrected energy (eV/atom) = -6.617

***

(10)
This record from Alexandria describes a geometry-optimized Ac4Ge6Rh7 structure. The functional is PBE.

Cell: 8.8719 8.8719 8.8719 Å, 90.00 90.00 90.00°
Closest atoms and distances in Å follow each position.
Space group Im-3m (No. 229)
Unique sites:
Ac 0.2500 0.2500 0.2500  6 Rh 3.14, 6 Ge 3.24
Ge 0.0000 0.0000 0.3418  4 Rh 2.62, 1 Ge 2.81
Rh 0.0000 0.0000 0.0000  6 Ge 3.03
Rh 0.0000 0.2500 0.5000  4 Ge 2.62

Summary:
- energy relative to the elements (eV/atom) = -0.754
- uncorrected energy (eV/atom) = -6.377

***

(11)
This record from Alexandria describes a geometry-optimized Ac3GeRh structure. The functional is PBE.

Cell: 8.6333 4.4770 8.6956 Å, 90.00 102.61 90.00°
Closest atoms and distances in Å follow each position.
Space group P2_1/m (No. 11)
Unique sites:
Ac 0.0788 0.2500 0.2695  3 Rh 2.97-2.99
Ac 0.3145 0.2500 0.9522  1 Rh 3.12, 3 Ge 3.25-3.32
Ac 0.3421 0.7500 0.5933  2 Rh 3.12, 3 Ge 3.26-3.37
Ge 0.3844 0.7500 0.2293  8 Ac 3.25-3.54
Rh 0.0961 0.2500 0.6148  6 Ac 2.97-3.12, 2 Rh 3.21

Summary:
- energy above the lowest structure with this stoichiometry (kJ per mole of atoms) = 0.0
- energy relative to the elements (eV/atom) = -0.565
- uncorrected energy (eV/atom) = -5.423

***

(12)
This record from Alexandria describes a geometry-optimized Ac4Ge2Rh structure. The functional is PBE.

Cell: 5.4637 5.4637 16.8263 Å, 90.00 90.00 90.00°
Closest atoms and distances in Å follow each position.
Space group I4/mmm (No. 139)
Unique sites:
Ac 0.0000 0.0000 0.1851  1 Ge 3.11, 1 Rh 3.11
Ac 0.0000 0.5000 0.0000  2 Rh 2.73
Ge 0.0000 0.0000 0.3697  1 Ac 3.11
Rh 0.0000 0.0000 0.0000  4 Ac 2.73

Summary:
- energy above the lowest structure with this stoichiometry (kJ per mole of atoms) = 17.3
- energy relative to the elements (eV/atom) = -0.433
- uncorrected energy (eV/atom) = -5.150

***

(13)
This record from Alexandria describes a geometry-optimized Ac12Ge6Rh structure. The functional is PBE.

Cell: 13.9394 13.9394 12.9085 Å, 90.00 90.00 120.00°
Closest atoms and distances in Å follow each position.
Space group R-3 (No. 148, hexagonal axes)
Unique sites:
Ac 0.0331 0.8275 0.3911  4 Ge 3.16-3.44
Ac 0.0447 0.8427 0.8838  1 Rh 2.97, 2 Ge 3.17-3.18
Ge 0.0490 0.7769 0.6494  7 Ac 3.16-3.52
Rh 0.0000 0.0000 0.0000  6 Ac 2.97

Summary:
- energy relative to the elements (eV/atom) = -0.472
- uncorrected energy (eV/atom) = -4.912

***

(14)
This record from Alexandria describes a geometry-optimized Ac4GeRh3 structure. The functional is PBE.

Cell: 4.2672 4.4201 11.5860 Å, 90.00 90.00 90.00°
Closest atoms and distances in Å follow each position.
Space group Pmm2 (No. 25)
Unique sites:
Ac 0.0000 0.0000 0.0000  6 Rh 3.11-3.30
Ac 0.0000 0.5000 0.2660  7 Rh 3.12-3.43
Ac 0.5000 0.0000 0.4868  5 Rh 3.12-3.19, 2 Ge 3.22
Ac 0.5000 0.5000 0.7712  3 Rh 3.11-3.23, 4 Ge 3.20
Ge 0.0000 0.0000 0.6950  2 Rh 2.70
Rh 0.0000 0.5000 0.5618  2 Ge 2.70
Rh 0.5000 0.0000 0.2177  2 Rh 3.02, 7 Ac 3.12-3.30
Rh 0.5000 0.5000 0.0400  2 Rh 3.02, 7 Ac 3.11-3.38

Summary:
- energy relative to the elements (eV/atom) = -0.677
- uncorrected energy (eV/atom) = -6.065

***

(15)
This record from Alexandria describes a geometry-optimized Ac8GeRh4 structure. The functional is PBE.

Cell: 19.0752 4.3493 13.6639 Å, 90.00 131.16 90.00°
Closest atoms and distances in Å follow each position.
Space group Cm (No. 8)
Unique sites:
Ac 0.0000 0.0000 0.0000  3 Rh 2.96-3.03
Ac 0.0047 0.0000 0.5631  3 Rh 3.00-3.06
Ac 0.0749 0.0000 0.3534  2 Rh 3.05, 2 Ge 3.36
Ac 0.1348 0.5000 0.9092  3 Rh 2.92-3.20
Ac 0.2195 0.5000 0.2937  3 Rh 2.92-3.20
Ac 0.2795 0.0000 0.8498  2 Rh 3.05, 2 Ge 3.37
Ac 0.3496 0.0000 0.6400  3 Rh 3.00-3.06
Ac 0.3544 0.0000 0.2031  3 Rh 2.96-3.03
Ge 0.1768 0.5000 0.6014  8 Ac 3.36-3.69
Rh 0.0032 0.5000 0.1501  5 Ac 2.96-3.20, 2 Rh 3.13
Rh 0.3515 0.5000 0.0533  5 Ac 2.96-3.20, 2 Rh 3.13
Rh 0.3550 0.0000 0.4253  6 Ac 2.92-3.06
Rh 0.4993 0.5000 0.7778  6 Ac 2.92-3.06

Summary:
- energy relative to the elements (eV/atom) = -0.538
- uncorrected energy (eV/atom) = -5.684

***

(16)
This record from Alexandria describes a geometry-optimized AcGe3Rh2 structure. The functional is PBE.

Cell: 12.8017 12.8017 12.8017 Å, 90.00 90.00 90.00°
Closest atoms and distances in Å follow each position.
Space group Fd-3m (No. 227, origin choice 2)
Unique sites:
Ac 0.0000 0.0000 0.0000  6 Ge 3.17, 6 Rh 3.23
Ge 0.0762 0.3750 0.8750  2 Rh 2.44
Rh 0.0025 0.0025 0.7475  3 Ge 2.44

Summary:
- energy above the lowest structure with this stoichiometry (kJ per mole of atoms) = 21.7
- energy relative to the elements (eV/atom) = -0.374
- uncorrected energy (eV/atom) = -5.818

***

(17)
This record from Alexandria describes a geometry-optimized Ac2Ge3Rh6 structure. The functional is PBE.

Cell: 7.3770 7.3770 4.4840 Å, 90.00 90.00 120.00°
Closest atoms and distances in Å follow each position.
Space group P-62m (No. 189)
Unique sites:
Ac 0.3333 0.6667 0.0000  3 Rh 2.99, 6 Ge 3.20
Ge 0.0000 0.3866 0.5000  5 Rh 2.52-2.62
Rh 0.0000 0.2149 0.0000  2 Ge 2.57, 6 Rh 2.75-2.85
Rh 0.0000 0.7421 0.5000  3 Ge 2.52-2.62

Summary:
- energy relative to the elements (eV/atom) = -0.565
- uncorrected energy (eV/atom) = -6.582

***

(18)
This record from Alexandria describes a geometry-optimized Ac3GeRh structure. The functional is PBE.

Cell: 12.2369 4.3040 12.5092 Å, 90.00 90.00 90.00°
Closest atoms and distances in Å follow each position.
Space group Pnma (No. 62)
Unique sites:
Ac 0.0579 0.2500 0.1242  3 Rh 3.08-3.12, 2 Ge 3.31
Ac 0.1273 0.7500 0.5533  3 Ge 3.18-3.22, 2 Rh 3.41
Ac 0.2123 0.2500 0.8130  2 Rh 3.05, 2 Ge 3.24-3.34
Ge 0.0146 0.7500 0.3208  7 Ac 3.18-3.34
Rh 0.1700 0.7500 0.9805  7 Ac 3.05-3.41

Summary:
- energy above the lowest structure with this stoichiometry (kJ per mole of atoms) = 1.4
- energy relative to the elements (eV/atom) = -0.550
- uncorrected energy (eV/atom) = -5.409

***

(19)
This record from Alexandria describes a geometry-optimized Ac2Ge5Rh structure. The functional is PBE.

Cell: 6.1070 6.1070 10.3681 Å, 90.00 90.00 90.00°
Closest atoms and distances in Å follow each position.
Space group I4mm (No. 107)
Unique sites:
Ac 0.0000 0.5000 0.0000  10 Ge 3.18-3.45
Ge 0.0000 0.0000 0.0854  4 Ge 2.67
Ge 0.2280 0.2280 0.2587  1 Rh 2.50, 3 Ge 2.67-2.78
Rh 0.0000 0.0000 0.6775  4 Ge 2.50

Summary:
- energy relative to the elements (eV/atom) = -0.499
- uncorrected energy (eV/atom) = -5.331

***

(20)
This record from Alexandria describes a geometry-optimized Ac2GeRh2 structure. The functional is PBE.

Cell: 11.4406 4.5062 10.8652 Å, 90.00 114.41 90.00°
Closest atoms and distances in Å follow each position.
Space group C2/m (No. 12)
Unique sites:
Ac 0.0996 0.0000 0.4000  6 Rh 2.99-3.31, 2 Ge 3.29
Ac 0.2006 0.5000 0.1477  7 Rh 3.17-3.46, 4 Ge 3.25-3.34
Ge 0.0771 0.5000 0.8190  3 Rh 2.50-2.51
Rh 0.0444 0.0000 0.9009  2 Ge 2.51, 1 Rh 2.73
Rh 0.1160 0.5000 0.6093  1 Ge 2.50, 1 Rh 2.73

Summary:
- energy above the lowest structure with this stoichiometry (kJ per mole of atoms) = 5.1
- energy relative to the elements (eV/atom) = -0.694
- uncorrected energy (eV/atom) = -6.201

***

no.,density of states at the Fermi level (states/eV per cell)
1,13.7
2,7.1
3,2.5
4,6.3
5,11.6
6,25.6
7,11.4
8,26.4
9,8.4
10,23.2
11,7.0
12,10.1
13,64.4
14,5.9
15,20.9
16,60.4
17,10.4
18,13.2
19,7.7
20,13.7